First-principles (GGA-PBE) data for an optimized crystal structure of Sr2AgBi2, as listed in Alexandria.

```
Sr2AgBi2
1.0
-6.4987 1.2572 0.2616
-1.2608 -5.9913 -2.5293
-4.0464 -4.0988 3.0513
Bi Sr Ag
2 2 1
Cartesian
-3.9402 -2.9947 0.3831
-7.8658 -5.8381 0.4004
-7.2124 -2.6043 1.0895
-4.5935 -6.2285 -0.3059
0.0000 0.0000 0.0000
```

Properties
DOS(E_F): 2.744 states/eV/f.u.
Space group: I4/mmm, No. 139
Raw total energy: -3.165 eV per atom
ΔH_f (0 K): -0.3694 eV/atom
Energy relative to the lowest polymorph listed for this composition: 273 meV per atom